(1)
{
  "formula": "Hf2InRh3",
  "functional": "PBE",
  "state": "relaxed",
  "cell": [[3.339, 0.000, 0.000], [0.000, 3.339, 0.000], [0.000, 0.000, 9.369]],
  "species": ["Hf", "Hf", "In", "Rh", "Rh", "Rh"],
  "fractional_positions": [[0.500, 0.500, 0.828], [0.500, 0.500, 0.172], [0.500, 0.500, 0.500], [0.000, 0.000, 0.325], [0.000, 0.000, 0.675], [0.000, 0.000, 0.000]],
  "e_form_kj_per_mol_fu": -458,
  "total_magnetization_mub_per_cell": 0.0,
  "relative_energy_ev_per_atom": 0.019,
  "spacegroup": "P4/mmm (123)"
}

---

(2)
{
  "formula": "HfInTcRh",
  "functional": "PBE",
  "state": "relaxed",
  "cell": [[-0.802, -3.025, 1.252], [4.078, -1.517, -1.053], [1.526, 1.278, 4.066]],
  "species": ["In", "Rh", "Tc", "Hf"],
  "fractional_positions": [[0.500, 0.500, 0.000], [0.000, 0.000, 0.000], [0.000, 0.500, 0.500], [0.500, 0.000, 0.500]],
  "e_form_kj_per_mol_fu": -180,
  "total_magnetization_mub_per_cell": 0.0,
  "relative_energy_ev_per_atom": 0.000,
  "spacegroup": "Pmmm (47)"
}

---

(3)
{
  "formula": "HfInTcRh",
  "functional": "PBE",
  "state": "relaxed",
  "cell": [[4.596, 0.000, 0.000], [2.298, 3.981, 0.000], [2.298, 1.327, 3.753]],
  "species": ["Hf", "Tc", "In", "Rh"],
  "fractional_positions": [[0.750, 0.750, 0.750], [0.500, 0.500, 0.500], [0.250, 0.250, 0.250], [0.000, 0.000, 0.000]],
  "e_form_kj_per_mol_fu": -160,
  "total_magnetization_mub_per_cell": 0.0,
  "relative_energy_ev_per_atom": 0.054,
  "spacegroup": "F-43m (216)"
}

---

(4)
{
  "formula": "HfIn2Ru2",
  "functional": "PBE",
  "state": "relaxed",
  "cell": [[7.347, 0.000, 0.000], [0.000, 7.347, 0.000], [0.000, 0.000, 3.419]],
  "species": ["Hf", "Hf", "Ru", "Ru", "Ru", "Ru", "In", "In", "In", "In"],
  "fractional_positions": [[0.500, 0.500, 0.000], [0.000, 0.000, 0.000], [0.856, 0.644, 0.000], [0.144, 0.356, 0.000], [0.356, 0.856, 0.000], [0.644, 0.144, 0.000], [0.155, 0.655, 0.500], [0.345, 0.155, 0.500], [0.655, 0.845, 0.500], [0.845, 0.345, 0.500]],
  "e_form_kj_per_mol_fu": -41,
  "total_magnetization_mub_per_cell": 0.0,
  "spacegroup": "P4/mbm (127)"
}

---

(5)
{
  "formula": "HfIn3Ru",
  "functional": "PBE",
  "state": "relaxed",
  "cell": [[-4.112, -2.428, -1.658], [2.018, -4.404, 1.445], [-2.138, 0.513, 4.552]],
  "species": ["Hf", "In", "In", "In", "Ru"],
  "fractional_positions": [[0.500, 0.500, 0.500], [0.000, 0.000, 0.500], [0.500, 0.000, 0.000], [0.000, 0.500, 0.000], [0.000, 0.000, 0.000]],
  "e_form_kj_per_mol_fu": 285,
  "total_magnetization_mub_per_cell": 0.0,
  "spacegroup": "Pm-3m (221)"
}

---

(6)
{
  "formula": "Hf4InRu5",
  "functional": "PBE",
  "state": "relaxed",
  "cell": [[-1.290, 2.971, -0.235], [-1.802, -0.574, 2.640], [11.792, 5.856, 9.321]],
  "species": ["Hf", "Hf", "Hf", "Hf", "Ru", "Ru", "Ru", "Ru", "Ru", "In"],
  "fractional_positions": [[0.000, 0.000, 0.399], [0.000, 0.000, 0.804], [0.000, 0.000, 0.601], [0.000, 0.000, 0.196], [0.500, 0.500, 0.301], [0.500, 0.500, 0.699], [0.500, 0.500, 0.500], [0.500, 0.500, 0.896], [0.500, 0.500, 0.104], [0.000, 0.000, 0.000]],
  "e_form_kj_per_mol_fu": -665,
  "total_magnetization_mub_per_cell": 0.0,
  "spacegroup": "P4/mmm (123)"
}

---

(7)
{
  "formula": "Hf6In3Ru",
  "functional": "PBE",
  "state": "relaxed",
  "cell": [[-4.720, 0.929, -2.392], [-0.048, -8.162, -3.075], [-4.411, -2.973, 7.960]],
  "species": ["Ru", "Ru", "In", "In", "In", "In", "In", "In", "Hf", "Hf", "Hf", "Hf", "Hf", "Hf", "Hf", "Hf", "Hf", "Hf", "Hf", "Hf"],
  "fractional_positions": [[0.000, 0.000, 0.000], [0.500, 0.500, 0.500], [0.360, 0.084, 0.257], [0.000, 0.000, 0.500], [0.500, 0.500, 0.000], [0.640, 0.916, 0.743], [0.860, 0.416, 0.757], [0.140, 0.584, 0.243], [0.074, 0.298, 0.058], [0.086, 0.333, 0.468], [0.150, 0.117, 0.769], [0.914, 0.667, 0.532], [0.414, 0.833, 0.032], [0.650, 0.383, 0.269], [0.426, 0.798, 0.442], [0.586, 0.167, 0.968], [0.574, 0.202, 0.558], [0.850, 0.883, 0.231], [0.926, 0.702, 0.942], [0.350, 0.617, 0.731]],
  "e_form_kj_per_mol_fu": -20,
  "total_magnetization_mub_per_cell": 0.0,
  "spacegroup": "P2_1/c (14)"
}

---

(8)
{
  "formula": "Hf5InRu4",
  "functional": "PBE",
  "state": "relaxed",
  "cell": [[3.194, 0.000, 0.000], [0.000, 3.194, 0.000], [0.000, 0.000, 17.809]],
  "species": ["Hf", "Hf", "Hf", "Hf", "Hf", "In", "Ru", "Ru", "Ru", "Ru"],
  "fractional_positions": [[0.500, 0.500, 0.129], [0.500, 0.500, 0.686], [0.500, 0.500, 0.500], [0.500, 0.500, 0.871], [0.500, 0.500, 0.314], [0.000, 0.000, 0.000], [0.000, 0.000, 0.222], [0.000, 0.000, 0.408], [0.000, 0.000, 0.592], [0.000, 0.000, 0.778]],
  "e_form_kj_per_mol_fu": -622,
  "total_magnetization_mub_per_cell": 0.0,
  "spacegroup": "P4/mmm (123)"
}